A relaxed structure of BaCaCo, computed with PBE-GGA.

Structure (CIF):
```
data_BaCaCo
_cell_length_a 3.697
_cell_length_b 3.697
_cell_length_c 14.051
_cell_angle_alpha 90.00
_cell_angle_beta 90.00
_cell_angle_gamma 90.00
_symmetry_space_group_name_H-M 'I 4 m m'
_symmetry_Int_Tables_number 107
_symmetry_space_group_name_Hall 'I 4 -2'
loop_
_atom_site_label
_atom_site_fract_x
_atom_site_fract_y
_atom_site_fract_z
Ba1 0.000 0.000 0.000
Ca1 0.000 0.000 0.754
Co1 0.000 0.000 0.363
```

Values from the calculation:
Energy of formation: 0.38 eV/atom
Electronic total energy: -9.88 eV/f.u.
E above lowest polymorph: 0 meV per atom

A relaxed structure of Cd2TcP, computed with PBE-GGA.

Structure (CIF):
```
data_Cd2TcP
_cell_length_a 2.861
_cell_length_b 2.861
_cell_length_c 8.930
_cell_angle_alpha 90.00
_cell_angle_beta 90.00
_cell_angle_gamma 90.00
_symmetry_space_group_name_H-M 'P 4/m m m'
_symmetry_Int_Tables_number 123
_symmetry_space_group_name_Hall '-P 4 2'
loop_
_atom_site_label
_atom_site_fract_x
_atom_site_fract_y
_atom_site_fract_z
Cd1 0.000 0.000 0.240
Tc1 0.500 0.500 0.000
P1 0.500 0.500 0.500
```

Values from the calculation:
Energy of formation: 0.56 eV/atom
Electronic total energy: -15.36 eV/f.u.

A relaxed structure of PmY3Ho, computed with PBE-GGA.

Structure (CIF):
```
data_PmY3Ho
_cell_length_a 6.326
_cell_length_b 5.684
_cell_length_c 9.660
_cell_angle_alpha 90.00
_cell_angle_beta 109.03
_cell_angle_gamma 90.00
_symmetry_space_group_name_H-M 'P 1 21/m 1'
_symmetry_Int_Tables_number 11
_symmetry_space_group_name_Hall '-P 2yb'
loop_
_atom_site_label
_atom_site_fract_x
_atom_site_fract_y
_atom_site_fract_z
Pm1 0.070 0.250 0.299
Y1 0.137 0.750 0.098
Y2 0.265 0.250 0.703
Y3 0.334 0.750 0.501
Ho1 0.468 0.250 0.100
```

Values from the calculation:
Energy of formation: 0.01 eV/atom
Electronic total energy: -28.69 eV/f.u.

A relaxed structure of PmEr8Sb6, computed with PBE-GGA.

Structure (CIF):
```
data_PmEr8Sb6
_cell_length_a 7.9932
_cell_length_b 7.9932
_cell_length_c 24.5756
_cell_angle_alpha 90.00
_cell_angle_beta 90.00
_cell_angle_gamma 120.00
_symmetry_space_group_name_H-M 'R -3'
_symmetry_Int_Tables_number 148
_symmetry_space_group_name_Hall '-R 3'
loop_
_atom_site_label
_atom_site_fract_x
_atom_site_fract_y
_atom_site_fract_z
Pm1 0.0000 0.0000 0.0000
Er1 0.0000 0.0000 0.3336
Er2 0.0030 0.6755 0.1223
Sb1 0.0022 0.6598 0.9312
```

Values from the calculation:
Electronic total energy: -76.91 eV/f.u.
Raw formation energy: -10.92 eV/f.u.